1.
This record from the Open Quantum Materials Database describes an optimized crystal structure of BaZnHgS3. The functional is GGA-PBE.

Computed properties:
* mass density: 5.66 g/cm³
* E above lowest polymorph: 0.000 eV per atom
* energy: -3.533 eV/atom
* calculated volume: 24.44 Å³ per atom

Lattice parameters (Å, degrees): 7.0627 7.0627 10.6634 90.00 90.00 146.54
Element x y z (fractional)
Ba 0.2480 0.7520 0.7500
Ba 0.7520 0.2480 0.2500
Zn 0.0330 0.9670 0.2500
Zn 0.9670 0.0330 0.7500
Hg 0.5000 0.5000 0.0000
Hg 0.5000 0.5000 0.5000
S 0.1315 0.8685 0.0690
S 0.1315 0.8685 0.4310
S 0.4333 0.5667 0.2500
S 0.5667 0.4333 0.7500
S 0.8685 0.1315 0.5690
S 0.8685 0.1315 0.9310

2.
This record from the Open Quantum Materials Database describes an optimized crystal structure of Be2Nb2As3P. The functional is GGA-PBE.

Computed properties:
* mass density: 4.66 g/cm³
* energy: -5.816 eV/atom
* calculated volume: 20.46 Å³ per atom

Lattice parameters (Å, degrees): 6.4936 6.4936 5.6366 114.98 114.98 51.22
Element x y z (fractional)
Be 0.1202 0.1202 0.3598
Be 0.8798 0.8798 0.6402
Nb 0.3637 0.3951 0.1215
Nb 0.6049 0.6363 0.8785
As 0.4888 0.0097 0.7116
As 0.7783 0.2217 0.5000
As 0.9903 0.5112 0.2884
P 0.1998 0.8002 0.0000

3.
This record from the Open Quantum Materials Database describes an optimized crystal structure of GdFe3Se2. The functional is GGA-PBE.

Computed properties:
* mass density: 7.66 g/cm³
* energy: -6.077 eV/atom
* calculated volume: 17.43 Å³ per atom

Lattice parameters (Å, degrees): 3.9634 3.9634 6.6592 90.00 90.00 90.00
Element x y z (fractional)
Gd 0.0000 0.0000 0.0000
Fe 0.0000 0.5000 0.3172
Fe 0.5000 0.0000 0.6828
Fe 0.5000 0.5000 0.0000
Se 0.0000 0.5000 0.6908
Se 0.5000 0.0000 0.3092

4.
This record from the Open Quantum Materials Database describes an optimized crystal structure of AgMoIr. The functional is GGA-PBE.

Computed properties:
* mass density: 11.73 g/cm³
* E above lowest polymorph: 0.000 eV per atom
* energy: -6.857 eV/atom
* calculated volume: 18.69 Å³ per atom
* ΔE_f: 0.652 eV/atom

Lattice parameters (Å, degrees): 4.2961 4.2961 4.2961 60.00 60.00 60.00
Element x y z (fractional)
Ag 0.0000 0.0000 0.0000
Mo 0.5000 0.5000 0.5000
Ir 0.2500 0.2500 0.2500

5.
This record from the Open Quantum Materials Database describes an optimized crystal structure of RbNbFeS3. The functional is GGA-PBE.

Computed properties:
* mass density: 4.21 g/cm³
* energy: -6.271 eV/atom
* calculated volume: 21.72 Å³ per atom

Lattice parameters (Å, degrees): 8.6430 3.5124 9.5882 90.00 116.45 90.00
Element x y z (fractional)
Rb 0.0112 0.2500 0.2596
Rb 0.9888 0.7500 0.7404
Nb 0.4732 0.2500 0.1741
Nb 0.5268 0.7500 0.8259
Fe 0.4787 0.7500 0.3941
Fe 0.5213 0.2500 0.6059
S 0.2581 0.7500 0.1486
S 0.3254 0.7500 0.5441
S 0.3388 0.2500 0.8709
S 0.6612 0.7500 0.1291
S 0.6746 0.2500 0.4559
S 0.7419 0.2500 0.8514

6.
This record from the Open Quantum Materials Database describes an optimized crystal structure of ZnAg15. The functional is GGA-PBE.

Computed properties:
* mass density: 6.20 g/cm³
* E above lowest polymorph: 0.021 eV per atom
* energy: -2.659 eV/atom
* calculated volume: 28.16 Å³ per atom
* ΔE_f: 0.068 eV/atom

Lattice parameters (Å, degrees): 5.8454 4.1414 37.2285 90.00 90.02 90.00
Element x y z (fractional)
Zn 0.1252 0.2500 0.2104
Zn 0.8748 0.7500 0.7896
Ag 0.1220 0.2500 0.7599
Ag 0.1250 0.2500 0.2836
Ag 0.1251 0.2500 0.3620
Ag 0.1250 0.2500 0.4409
Ag 0.1249 0.2500 0.5200
Ag 0.1252 0.2500 0.5991
Ag 0.1252 0.2500 0.6786
Ag 0.3721 0.7500 0.2401
Ag 0.3751 0.7500 0.3214
Ag 0.3752 0.7500 0.4009
Ag 0.3750 0.7500 0.4801
Ag 0.3750 0.7500 0.5593
Ag 0.3751 0.7500 0.6386
Ag 0.3750 0.7500 0.7176
Ag 0.3751 0.7500 0.7952
Ag 0.6249 0.2500 0.2048
Ag 0.6250 0.2500 0.2824
Ag 0.6249 0.2500 0.3614
Ag 0.6250 0.2500 0.4407
Ag 0.6250 0.2500 0.5199
Ag 0.6248 0.2500 0.5990
Ag 0.6249 0.2500 0.6786
Ag 0.6279 0.2500 0.7599
Ag 0.8748 0.7500 0.3214
Ag 0.8748 0.7500 0.4009
Ag 0.8751 0.7500 0.4800
Ag 0.8750 0.7500 0.5591
Ag 0.8749 0.7500 0.6380
Ag 0.8750 0.7500 0.7164
Ag 0.8780 0.7500 0.2401

7.
This record from the Open Quantum Materials Database describes an optimized crystal structure of NbTlNiIr. The functional is GGA-PBE.

Computed properties:
* mass density: 13.71 g/cm³
* energy: -6.479 eV/atom
* calculated volume: 16.59 Å³ per atom

Lattice parameters (Å, degrees): 4.5447 4.5447 4.5447 60.00 60.00 60.00
Element x y z (fractional)
Nb 0.0000 0.0000 0.0000
Tl 0.2500 0.2500 0.2500
Ni 0.5000 0.5000 0.5000
Ir 0.7500 0.7500 0.7500

8.
This record from the Open Quantum Materials Database describes an optimized crystal structure of BaPAu. The functional is GGA-PBE.

Computed properties:
* mass density: 7.19 g/cm³
* energy: -3.747 eV/atom
* calculated volume: 28.14 Å³ per atom

Lattice parameters (Å, degrees): 8.4060 8.4060 4.1382 90.00 90.00 120.00
Element x y z (fractional)
Ba 0.0000 0.2820 0.0000
Ba 0.2820 0.0000 0.0000
Ba 0.7180 0.7180 0.0000
P 0.0000 0.0000 0.5000
P 0.3333 0.6667 0.0000
P 0.6667 0.3333 0.0000
Au 0.0000 0.6202 0.5000
Au 0.3798 0.3798 0.5000
Au 0.6202 0.0000 0.5000